Compound: LiRe2Au
Source: Alexandria via LeMat-Bulk
Functional: PBE
Structure: relaxed

extended XYZ file:
```
4
Lattice="2.660 -0.075 0.000 -0.980 2.474 0.000 0.000 0.000 9.626" Properties=species:S:1:pos:R:3 pbc="T T T"
Re 0.000 0.000 4.873
Au 0.840 1.199 2.407
Re 0.000 0.000 9.566
Li 0.840 1.199 7.220
```

## Properties
**Symmetry**: Cmmm
**ρ**: 15.28 g cm⁻³
**ΔH_f (0 K)**: 0.53 eV/atom

=====

Compound: Li2ReAu2
Source: Alexandria via LeMat-Bulk
Functional: PBE
Structure: relaxed

extended XYZ file:
```
10
Lattice="-5.460 3.949 2.714 -4.791 -4.430 -3.193 -0.030 -1.568 2.222" Properties=species:S:1:pos:R:3 pbc="T T T"
Re -5.126 -0.241 -0.239
Li -2.474 -1.237 -0.907
Li -6.324 -2.400 -1.780
Au -7.660 -1.697 0.363
Li -7.778 0.755 0.428
Au -4.298 -3.088 -0.574
Au -5.983 1.038 2.317
Au -2.622 -0.353 1.380
Re 0.000 0.000 0.000
Li -3.927 1.918 1.301
```

## Properties
**Symmetry**: P4/mbm
**ρ**: 13.74 g cm⁻³
**ΔH_f (0 K)**: 0.06 eV/atom

=====

Compound: LiReAu4
Source: Alexandria via LeMat-Bulk
Functional: PBE
Structure: relaxed

extended XYZ file:
```
6
Lattice="0.000 3.849 3.849 3.849 0.000 3.849 3.849 3.849 0.000" Properties=species:S:1:pos:R:3 pbc="T T T"
Re 0.000 0.000 0.000
Au 2.887 2.887 2.887
Au 2.887 4.811 4.811
Au 4.811 2.887 4.811
Au 4.811 4.811 2.887
Li 5.774 5.774 5.774
```

## Properties
**Symmetry**: F-43m
**ρ**: 14.28 g cm⁻³
**ΔH_f (0 K)**: 0.54 eV/atom

=====

Compound: LiReAu3
Source: Alexandria via LeMat-Bulk
Functional: PBE
Structure: relaxed

extended XYZ file:
```
5
Lattice="5.068 0.000 0.000 0.000 5.068 0.000 0.000 0.000 5.068" Properties=species:S:1:pos:R:3 pbc="T T T"
Au 2.534 0.000 0.000
Au 0.000 2.534 0.000
Li 2.534 2.534 2.534
Au 0.000 0.000 2.534
Re 0.000 0.000 0.000
```

## Properties
**Symmetry**: Pm-3m
**ρ**: 10.00 g cm⁻³
**ΔH_f (0 K)**: 0.85 eV/atom

=====

Compound: LiRe2Au
Source: Alexandria via LeMat-Bulk
Functional: PBE
Structure: relaxed

extended XYZ file:
```
4
Lattice="-1.966 1.752 3.829 -0.032 0.114 4.646 3.266 4.028 0.344" Properties=species:S:1:pos:R:3 pbc="T T T"
Au 0.521 2.780 4.343
Li 0.395 1.547 2.169
Re 3.186 3.945 0.369
Re 1.069 4.598 6.691
```

## Properties
**Symmetry**: Cm
**ρ**: 15.59 g cm⁻³
**ΔH_f (0 K)**: 0.26 eV/atom

=====

Compound: LiRe2Au
Source: Alexandria via LeMat-Bulk
Functional: PBE
Structure: relaxed

extended XYZ file:
```
4
Lattice="4.220 0.000 0.000 0.000 2.671 -0.008 0.000 1.260 5.431" Properties=species:S:1:pos:R:3 pbc="T T T"
Au 0.000 2.150 2.924
Re 2.110 0.750 1.140
Re 0.000 2.543 0.086
Li 2.110 3.124 3.977
```

## Properties
**Symmetry**: Pm
**ρ**: 15.62 g cm⁻³
**ΔH_f (0 K)**: 0.18 eV/atom

=====

Compound: LiRe2Au
Source: Alexandria via LeMat-Bulk
Functional: PBE
Structure: relaxed

extended XYZ file:
```
4
Lattice="5.218 -0.008 0.003 2.653 4.494 -0.003 -3.658 -2.730 2.530" Properties=species:S:1:pos:R:3 pbc="T T T"
Re 0.041 0.023 0.000
Au 2.748 -0.248 1.266
Li 1.465 2.003 1.263
Re 3.895 2.220 0.000
```

## Properties
**Symmetry**: Immm
**ρ**: 16.12 g cm⁻³
**ΔH_f (0 K)**: 0.29 eV/atom

=====

Compound: Li3ReAu
Source: Alexandria via LeMat-Bulk
Functional: PBE
Structure: relaxed

extended XYZ file:
```
5
Lattice="-0.022 3.200 3.120 -4.342 0.722 -0.772 -1.057 -3.035 3.105" Properties=species:S:1:pos:R:3 pbc="T T T"
Re -2.711 0.443 2.727
Li -0.528 -1.518 1.553
Au 0.000 0.000 0.000
Li -2.171 0.361 -0.386
Li -0.011 1.600 1.560
```

## Properties
**Symmetry**: Pm-3m
**ρ**: 7.52 g cm⁻³
**ΔH_f (0 K)**: 1.12 eV/atom